VASP calculation (GGA+U) on CsV2GeO8 after structural relaxation.

a b c (Å): 5.5052 5.5052 8.4401
angles (deg): 90.00 90.00 120.00
Last column: magnetic moment on the atom in μB.
Positions (direct):
1 Cs 0.0000 0.0000 0.0000  0.00
2 V 0.6667 0.3333 0.3057  -0.10
3 V 0.3333 0.6667 0.6943  -0.10
4 Ge 0.0000 0.0000 0.5000  -0.01
5 O 0.3333 0.6667 0.8921  0.14
6 O 0.3166 0.1920 0.3684  0.14
7 O 0.8080 0.1246 0.3684  0.14
8 O 0.6667 0.3333 0.1079  0.14
9 O 0.1920 0.8754 0.6316  0.14
10 O 0.6834 0.8080 0.6316  0.14
11 O 0.1246 0.3166 0.6316  0.14
12 O 0.8754 0.6834 0.3684  0.14

Summary:
For the theoretical density, the calculation gives 3.26 g cm⁻³. For the uncorrected energy, the calculation gives -80.3 eV per cell. The volume is 222 Å³ per cell. The calculation puts the density of states at the Fermi level at 6.21 states/eV/cell.